First-principles (PBE+U) data for AsWO5 after structural relaxation, as listed in Alexandria.

Cell lengths 6.1431, 8.0643, 8.9887 Å; angles 90.00, 92.17, 90.00 degrees
Closest atoms and distances in Å follow each position.
Sites, in units of the cell vectors:
As 0.0097 0.0000 0.1512  4 O 1.69-1.83
As 0.3570 0.8700 0.4199  1 O 1.64
As 0.6430 0.3700 0.5801  1 O 1.64
As 0.9903 0.5000 0.8488  4 O 1.69-1.83
W 0.2581 0.9128 0.8276  4 O 1.81-1.96
W 0.2619 0.3993 0.1763  1 O 1.73
W 0.7381 0.8993 0.8237  1 O 1.73
W 0.7419 0.4128 0.1724  4 O 1.81-1.96
O 0.0012 0.2256 0.1353  1 As 1.83
O 0.0097 0.5452 0.1770  2 W 1.95-1.96
O 0.0450 0.9426 0.3307  1 As 1.69
O 0.2228 0.4306 0.9379  1 As 1.70
O 0.2289 0.8696 0.6308  1 W 1.81
O 0.2372 0.9459 0.0534  1 As 1.73
O 0.2621 0.3496 0.3639  1 W 1.73
O 0.4852 0.0486 0.4246  1 As 1.64
O 0.4892 0.7571 0.8751  2 W 1.93-1.98
O 0.4968 0.0629 0.8142  2 W 1.91-1.98
O 0.5032 0.5629 0.1858  2 W 1.91-1.98
O 0.5108 0.2571 0.1249  2 W 1.93-1.98
O 0.5148 0.5486 0.5754  1 As 1.64
O 0.7379 0.8496 0.6361  1 W 1.73
O 0.7628 0.4459 0.9466  1 As 1.73
O 0.7711 0.3696 0.3692  1 W 1.81
O 0.7772 0.9306 0.0621  1 As 1.70
O 0.9550 0.4426 0.6693  1 As 1.69
O 0.9903 0.0452 0.8230  2 W 1.95-1.96
O 0.9988 0.7256 0.8647  1 As 1.83

Computed properties:
space group	P2_1
calculated density	5.06	g cm⁻³
magnetic moment	0.00	Bohr magnetons per cell
distance to the lowest polymorph of the same formula	0.182	eV per atom